Entry 1:
Computed, not measured: a PBEsol-optimized structure of TaHgW3 at the SCAN level of DFT.

Values from the calculation:
SG	No. 221
electronic total energy	-65.55	eV per atom
ΔE_f	3211	meV per atom

a b c (Å): 4.7885 4.7885 4.7885
angles (deg): 90.00 90.00 90.00
With the nearest neighbours (Å) after each atom.
Atoms (fractional coordinates):
Ta: 0.5000 0.5000 0.5000  12 W 3.39
W: 0.5000 0.0000 0.0000  2 Hg 2.39
W: 0.0000 0.0000 0.5000  2 Hg 2.39
W: 0.0000 0.5000 0.0000  2 Hg 2.39
Hg: 0.0000 0.0000 0.0000  6 W 2.39

Entry 2:
Computed, not measured: a PBEsol-optimized structure of YTaHg3 at the SCAN level of DFT.

Values from the calculation:
SG	No. 221
electronic total energy	-58.31	eV per atom
ΔE_f	1476	meV per atom

a b c (Å): 5.4287 5.4287 5.4287
angles (deg): 90.00 90.00 90.00
With the nearest neighbours (Å) after each atom.
Atoms (fractional coordinates):
Hg: 0.0000 0.5000 0.0000  2 Y 2.71
Hg: 0.5000 0.0000 0.0000  2 Y 2.71
Hg: 0.0000 0.0000 0.5000  2 Y 2.71
Y: 0.0000 0.0000 0.0000  6 Hg 2.71
Ta: 0.5000 0.5000 0.5000  12 Hg 3.84

Entry 3:
Computed, not measured: a PBEsol-optimized structure of YTaHg2 at the SCAN level of DFT.

Values from the calculation:
SG	No. 44
ΔE to the lowest computed polymorph	0.00	eV/f.u.
electronic total energy	-57.60	eV per atom
ΔE_f	93	meV per atom

a b c (Å): 3.1994 5.1531 5.9592
angles (deg): 115.62 105.57 90.00
With the nearest neighbours (Å) after each atom.
Atoms (fractional coordinates):
Hg: 0.7519 0.2519 0.5038  2 Ta 2.93, 4 Hg 2.95-3.20, 4 Y 3.03
Hg: 0.0098 0.0098 0.0195  4 Hg 2.95-3.20, 4 Ta 3.04, 2 Y 3.13
Ta: 0.4912 0.4912 0.9825  6 Hg 2.93-3.04, 2 Y 3.07, 2 Ta 3.20
Y: 0.2471 0.7471 0.4942  6 Hg 3.03-3.13, 2 Ta 3.07, 2 Y 3.20

Entry 4:
Computed, not measured: a PBEsol-optimized structure of YTa2Hg at the SCAN level of DFT.

Values from the calculation:
SG	No. 119
electronic total energy	-57.00	eV per atom
ΔE_f	296	meV per atom

a b c (Å): 4.3464 4.3464 5.2334
angles (deg): 114.54 114.54 90.00
With the nearest neighbours (Å) after each atom.
Atoms (fractional coordinates):
Ta: 0.7500 0.2500 0.5000  4 Y 3.03, 4 Ta 3.03, 4 Hg 3.07
Ta: 0.0000 0.0000 0.0000  4 Hg 3.03, 4 Ta 3.03, 4 Y 3.07
Hg: 0.2500 0.7500 0.5000  4 Y 3.03, 8 Ta 3.03-3.07
Y: 0.5000 0.5000 0.0000  4 Hg 3.03, 8 Ta 3.03-3.07

Entry 5:
Computed, not measured: a PBEsol-optimized structure of YTaHg2 at the SCAN level of DFT.

Values from the calculation:
SG	No. 160
ΔE to the lowest computed polymorph	0.29	eV/f.u.
electronic total energy	-57.53	eV per atom
ΔE_f	164	meV per atom

a b c (Å): 3.2530 3.2530 9.7805
angles (deg): 80.43 80.43 60.00
With the nearest neighbours (Å) after each atom.
Atoms (fractional coordinates):
Ta: 0.4973 0.4973 0.5081  3 Hg 2.93, 3 Y 3.06, 6 Ta 3.25
Y: 0.2478 0.2478 0.2565  3 Ta 3.06, 3 Hg 3.15, 6 Y 3.25
Hg: 0.7523 0.7523 0.7430  3 Ta 2.93, 9 Hg 3.04-3.25
Hg: 0.0025 0.0025 0.9924  9 Hg 3.04-3.25, 3 Y 3.15

Entry 6:
Computed, not measured: a PBEsol-optimized structure of YTa2Hg at the SCAN level of DFT.

Values from the calculation:
SG	No. 216
electronic total energy	-57.04	eV per atom
ΔE_f	254	meV per atom

a b c (Å): 4.8346 4.8346 4.8346
angles (deg): 60.00 60.00 60.00
With the nearest neighbours (Å) after each atom.
Atoms (fractional coordinates):
Ta: 0.7500 0.7500 0.7500  4 Hg 2.96, 4 Ta 2.96
Ta: 0.0000 0.0000 0.0000  4 Y 2.96, 4 Ta 2.96
Hg: 0.5000 0.5000 0.5000  4 Ta 2.96, 4 Y 2.96
Y: 0.2500 0.2500 0.2500  4 Ta 2.96, 4 Hg 2.96

Entry 7:
Computed, not measured: a PBEsol-optimized structure of YTa2Hg at the SCAN level of DFT.

Values from the calculation:
SG	No. 10
electronic total energy	-57.04	eV per atom
ΔE_f	249	meV per atom

a b c (Å): 3.0532 5.1864 5.2531
angles (deg): 90.00 90.00 94.01
With the nearest neighbours (Å) after each atom.
Atoms (fractional coordinates):
Ta: 0.6371 0.7494 0.0000  2 Ta 2.66-2.79, 2 Hg 2.97
Ta: 0.3629 0.2506 0.0000  2 Ta 2.66-2.79, 2 Hg 2.97
Y: 0.0000 0.5000 0.5000  4 Hg 2.92-3.10, 2 Y 3.05, 4 Ta 3.16
Hg: 0.5000 0.0000 0.5000  4 Y 2.92-3.10, 4 Ta 2.97, 2 Hg 3.05

Entry 8:
Computed, not measured: a PBEsol-optimized structure of YTa2Hg at the SCAN level of DFT.

Values from the calculation:
SG	No. 35
electronic total energy	-57.13	eV per atom
ΔE_f	162	meV per atom

a b c (Å): 2.9773 2.9773 9.4774
angles (deg): 90.00 90.00 105.37
With the nearest neighbours (Å) after each atom.
Atoms (fractional coordinates):
Ta: 0.5000 0.5000 0.7688  6 Ta 2.76-2.98, 2 Y 3.07
Ta: 0.0000 0.0000 0.9897  6 Ta 2.76-2.98, 2 Hg 2.94
Y: 0.0000 0.0000 0.5062  4 Y 2.98, 2 Ta 3.07, 2 Hg 3.14
Hg: 0.5000 0.5000 0.2353  2 Ta 2.94, 4 Hg 2.98, 2 Y 3.14